Below is an optimized crystal structure of TaZn2WO6, with properties calculated at the PBE+U level.

Values from the calculation:
ρ, Mg/m³: 8.56
E_tot, eV/f.u.: -70.48
Spin magnetization, μB per formula unit: 3.0

Lattice parameters (Å, degrees): 5.3906 7.8579 5.4226 90.00 91.92 90.00
Element x y z (fractional)
Ta (0.0000, 0.0000, 0.0000)
Ta (0.0000, 0.5000, 0.0000)
Zn (0.0271, 0.2500, 0.5062)
Zn (0.4838, 0.7500, 0.0220)
Zn (0.5162, 0.2500, 0.9780)
Zn (0.9729, 0.7500, 0.4938)
W (0.5000, 0.0000, 0.5000)
W (0.5000, 0.5000, 0.5000)
O (0.0799, 0.7500, 0.1212)
O (0.1606, 0.5658, 0.6876)
O (0.1606, 0.9342, 0.6876)
O (0.3205, 0.0685, 0.1517)
O (0.3205, 0.4315, 0.1517)
O (0.3926, 0.2500, 0.6228)
O (0.6074, 0.7500, 0.3772)
O (0.6795, 0.5685, 0.8483)
O (0.6795, 0.9315, 0.8483)
O (0.8394, 0.0658, 0.3124)
O (0.8394, 0.4342, 0.3124)
O (0.9201, 0.2500, 0.8788)